# Sc2ZnRu, PBEsol geometry, DFT meta-GGA SCAN
# ΔH_f (0 K): 0.190 eV per atom
# Crystal system: trigonal
data_Sc2ZnRu
_chemical_formula_sum 'Sc6 Zn3 Ru3'
_space_group_name_H-M_alt 'R -3 m'
_space_group_IT_number 166
_space_group_name_Hall '-R 3 2"'
_cell_length_a 3.0287
_cell_length_b 3.0287
_cell_length_c 27.4847
_cell_angle_alpha 90.00
_cell_angle_beta 90.00
_cell_angle_gamma 120.00
loop_
_atom_site_label
_atom_site_type_symbol
_atom_site_fract_x
_atom_site_fract_y
_atom_site_fract_z
Sc1 Sc 0.0000 0.0000 0.0844
Zn1 Zn 0.0000 0.0000 0.5000
Ru1 Ru 0.0000 0.0000 0.0000

***

# Sc3ZnRu, PBEsol geometry, DFT meta-GGA SCAN
# Relative energy among the computed polymorphs: 0.0000 eV per atom
# ΔH_f (0 K): -0.063 eV per atom
# Crystal system: cubic
data_Sc3ZnRu
_chemical_formula_sum 'Sc3 Zn1 Ru1'
_space_group_name_H-M_alt 'P m -3 m'
_space_group_IT_number 221
_space_group_name_Hall '-P 4 2 3'
_cell_length_a 4.898
_cell_length_b 4.898
_cell_length_c 4.898
_cell_angle_alpha 90.00
_cell_angle_beta 90.00
_cell_angle_gamma 90.00
loop_
_atom_site_label
_atom_site_type_symbol
_atom_site_fract_x
_atom_site_fract_y
_atom_site_fract_z
Sc1 Sc 0.000 0.000 0.500
Zn1 Zn 0.500 0.500 0.500
Ru1 Ru 0.000 0.000 0.000

***

# Sc3ZnRu, PBEsol geometry, DFT meta-GGA SCAN
# Relative energy among the computed polymorphs: 0.6989 eV per atom
# ΔH_f (0 K): 0.636 eV per atom
# Crystal system: cubic
data_Sc3ZnRu
_chemical_formula_sum 'Sc3 Zn1 Ru1'
_space_group_name_H-M_alt 'P m -3 m'
_space_group_IT_number 221
_space_group_name_Hall '-P 4 2 3'
_cell_length_a 4.790
_cell_length_b 4.790
_cell_length_c 4.790
_cell_angle_alpha 90.00
_cell_angle_beta 90.00
_cell_angle_gamma 90.00
loop_
_atom_site_label
_atom_site_type_symbol
_atom_site_fract_x
_atom_site_fract_y
_atom_site_fract_z
Sc1 Sc 0.000 0.000 0.500
Zn1 Zn 0.000 0.000 0.000
Ru1 Ru 0.500 0.500 0.500

***

# ScZnRu2, PBEsol geometry, DFT meta-GGA SCAN
# ΔH_f (0 K): -0.280 eV per atom
# Crystal system: orthorhombic
data_ScZnRu2
_chemical_formula_sum 'Sc2 Zn2 Ru4'
_space_group_name_H-M_alt 'I m m 2'
_space_group_IT_number 44
_cell_length_a 3.055
_cell_length_b 4.227
_cell_length_c 9.056
_cell_angle_alpha 90.00
_cell_angle_beta 90.00
_cell_angle_gamma 90.00
loop_
_space_group_symop_operation_xyz
'x,y,z'
'-x,-y,z'
'-x,y,z'
'x,-y,z'
'x+1/2,y+1/2,z+1/2'
'-x+1/2,-y+1/2,z+1/2'
'-x+1/2,y+1/2,z+1/2'
'x+1/2,-y+1/2,z+1/2'
loop_
_atom_site_label
_atom_site_type_symbol
_atom_site_fract_x
_atom_site_fract_y
_atom_site_fract_z
Sc1 Sc 0.000 0.000 0.000
Zn1 Zn 0.000 0.500 0.768
Ru1 Ru 0.000 0.000 0.510
Ru2 Ru 0.000 0.500 0.243

***

# ScZnRu2, PBEsol geometry, DFT meta-GGA SCAN
# ΔH_f (0 K): -0.186 eV per atom
# Crystal system: monoclinic
data_ScZnRu2
_chemical_formula_sum 'Sc1 Zn1 Ru2'
_space_group_name_H-M_alt 'P 1 m 1'
_space_group_IT_number 6
_cell_length_a 2.828
_cell_length_b 4.363
_cell_length_c 4.858
_cell_angle_alpha 90.00
_cell_angle_beta 101.29
_cell_angle_gamma 90.00
loop_
_space_group_symop_operation_xyz
'x,y,z'
'x,-y,z'
loop_
_atom_site_label
_atom_site_type_symbol
_atom_site_fract_x
_atom_site_fract_y
_atom_site_fract_z
Sc1 Sc 0.000 0.000 0.000
Zn1 Zn 0.573 0.500 0.206
Ru1 Ru 0.206 0.500 0.671
Ru2 Ru 0.578 0.000 0.500

***

# ScZn4Ru, PBEsol geometry, DFT meta-GGA SCAN
# ΔH_f (0 K): -0.400 eV per atom
# Crystal system: cubic
data_ScZn4Ru
_chemical_formula_sum 'Sc4 Zn16 Ru4'
_space_group_name_H-M_alt 'F -4 3 m'
_space_group_IT_number 216
_space_group_name_Hall 'F -4 2 3'
_cell_length_a 6.962
_cell_length_b 6.962
_cell_length_c 6.962
_cell_angle_alpha 90.00
_cell_angle_beta 90.00
_cell_angle_gamma 90.00
loop_
_atom_site_label
_atom_site_type_symbol
_atom_site_fract_x
_atom_site_fract_y
_atom_site_fract_z
Sc1 Sc 0.000 0.000 0.000
Zn1 Zn 0.124 0.124 0.624
Ru1 Ru 0.250 0.250 0.250

***

# Sc2ZnRu, PBEsol geometry, DFT meta-GGA SCAN
# ΔH_f (0 K): -0.643 eV per atom
# Crystal system: tetragonal
data_Sc2ZnRu
_chemical_formula_sum 'Sc2 Zn1 Ru1'
_space_group_name_H-M_alt 'P 4/m m m'
_space_group_IT_number 123
_space_group_name_Hall '-P 4 2'
_cell_length_a 3.239
_cell_length_b 3.239
_cell_length_c 6.482
_cell_angle_alpha 90.00
_cell_angle_beta 90.00
_cell_angle_gamma 90.00
loop_
_atom_site_label
_atom_site_type_symbol
_atom_site_fract_x
_atom_site_fract_y
_atom_site_fract_z
Sc1 Sc 0.000 0.000 0.233
Zn1 Zn 0.500 0.500 0.500
Ru1 Ru 0.500 0.500 0.000

***

# Zr2ScRu, PBEsol geometry, DFT meta-GGA SCAN
# Relative energy among the computed polymorphs: 0.0286 eV per atom
# ΔH_f (0 K): -0.382 eV per atom
# Crystal system: tetragonal
data_Zr2ScRu
_chemical_formula_sum 'Zr2 Sc1 Ru1'
_space_group_name_H-M_alt 'P 4 m m'
_space_group_IT_number 99
_cell_length_a 3.223
_cell_length_b 3.223
_cell_length_c 7.511
_cell_angle_alpha 90.00
_cell_angle_beta 90.00
_cell_angle_gamma 90.00
loop_
_space_group_symop_operation_xyz
'x,y,z'
'-y,x,z'
'-x,-y,z'
'y,-x,z'
'-x,y,z'
'y,x,z'
'x,-y,z'
'-y,-x,z'
loop_
_atom_site_label
_atom_site_type_symbol
_atom_site_fract_x
_atom_site_fract_y
_atom_site_fract_z
Zr1 Zr 0.000 0.000 0.000
Zr2 Zr 0.500 0.500 0.277
Sc1 Sc 0.500 0.500 0.692
Ru1 Ru 0.000 0.000 0.485

***

# Zr2ScRu, PBEsol geometry, DFT meta-GGA SCAN
# Relative energy among the computed polymorphs: 0.1901 eV per atom
# ΔH_f (0 K): -0.221 eV per atom
# Crystal system: monoclinic
data_Zr2ScRu
_chemical_formula_sum 'Zr2 Sc1 Ru1'
_space_group_name_H-M_alt 'P 1 m 1'
_space_group_IT_number 6
_cell_length_a 3.155
_cell_length_b 4.416
_cell_length_c 5.704
_cell_angle_alpha 90.00
_cell_angle_beta 105.12
_cell_angle_gamma 90.00
loop_
_space_group_symop_operation_xyz
'x,y,z'
'x,-y,z'
loop_
_atom_site_label
_atom_site_type_symbol
_atom_site_fract_x
_atom_site_fract_y
_atom_site_fract_z
Zr1 Zr 0.000 0.000 0.000
Zr2 Zr 0.320 0.500 0.724
Sc1 Sc 0.643 0.000 0.456
Ru1 Ru 0.816 0.500 0.218

***

# ZrScRu, PBEsol geometry, DFT meta-GGA SCAN
# Relative energy among the computed polymorphs: 0.1472 eV per atom
# ΔH_f (0 K): -0.351 eV per atom
# Crystal system: cubic
data_ZrScRu
_chemical_formula_sum 'Zr4 Sc4 Ru4'
_space_group_name_H-M_alt 'F -4 3 m'
_space_group_IT_number 216
_space_group_name_Hall 'F -4 2 3'
_cell_length_a 6.290
_cell_length_b 6.290
_cell_length_c 6.290
_cell_angle_alpha 90.00
_cell_angle_beta 90.00
_cell_angle_gamma 90.00
loop_
_atom_site_label
_atom_site_type_symbol
_atom_site_fract_x
_atom_site_fract_y
_atom_site_fract_z
Zr1 Zr 0.000 0.000 0.000
Sc1 Sc 0.000 0.000 0.500
Ru1 Ru 0.250 0.250 0.750

***

# Zr3ScRu, PBEsol geometry, DFT meta-GGA SCAN
# ΔH_f (0 K): 1.502 eV per atom
# Crystal system: cubic
data_Zr3ScRu
_chemical_formula_sum 'Zr3 Sc1 Ru1'
_space_group_name_H-M_alt 'P m -3 m'
_space_group_IT_number 221
_space_group_name_Hall '-P 4 2 3'
_cell_length_a 4.752
_cell_length_b 4.752
_cell_length_c 4.752
_cell_angle_alpha 90.00
_cell_angle_beta 90.00
_cell_angle_gamma 90.00
loop_
_atom_site_label
_atom_site_type_symbol
_atom_site_fract_x
_atom_site_fract_y
_atom_site_fract_z
Zr1 Zr 0.000 0.000 0.500
Sc1 Sc 0.000 0.000 0.000
Ru1 Ru 0.500 0.500 0.500

***

# ZrScRu, PBEsol geometry, DFT meta-GGA SCAN
# Relative energy among the computed polymorphs: 0.0000 eV per atom
# ΔH_f (0 K): -0.498 eV per atom
# Crystal system: tetragonal
data_ZrScRu
_chemical_formula_sum 'Zr2 Sc2 Ru2'
_space_group_name_H-M_alt 'I 4 m m'
_space_group_IT_number 107
_space_group_name_Hall 'I 4 -2'
_cell_length_a 3.236
_cell_length_b 3.236
_cell_length_c 10.625
_cell_angle_alpha 90.00
_cell_angle_beta 90.00
_cell_angle_gamma 90.00
loop_
_atom_site_label
_atom_site_type_symbol
_atom_site_fract_x
_atom_site_fract_y
_atom_site_fract_z
Zr1 Zr 0.000 0.000 0.000
Sc1 Sc 0.000 0.000 0.292
Ru1 Ru 0.000 0.000 0.642

***

> ΔH_f (0 K) of number 2 (Sc3ZnRu)?

-0.063 eV per atom